Density functional theory data (GGA+U) for a relaxed MnNbZn2O6 crystal.

```
data_MnNbZn2O6
_chemical_formula_sum 'Mn1 Nb1 Zn2 O6'
_cell_length_a 5.152
_cell_length_b 5.261
_cell_length_c 5.503
_cell_angle_alpha 62.90
_cell_angle_beta 89.61
_cell_angle_gamma 61.92
_space_group_name_H-M_alt 'P 1'
_space_group_IT_number 1
loop_
_space_group_symop_operation_xyz
'x,y,z'
loop_
_atom_site_label
_atom_site_type_symbol
_atom_site_fract_x
_atom_site_fract_y
_atom_site_fract_z
Mn1 Mn 0.000 0.000 0.000
Nb1 Nb 0.492 0.009 0.483
Zn1 Zn 0.235 0.523 0.711
Zn2 Zn 0.720 0.569 0.127
O1 O 0.124 0.117 0.260
O2 O 0.259 0.115 0.774
O3 O 0.421 0.454 0.310
O4 O 0.604 0.527 0.779
O5 O 0.768 0.850 0.266
O6 O 0.892 0.833 0.791
```

Crystal system ... triclinic
Uncorrected energy ... -6.79 eV/atom